Entry 1:
Density functional theory data (PBE) for a geometry-optimized HoTm2Pd2 structure.

Summary:
E (eV per atom): -5.491
Formation energy from the elements (meV/atom): -710
DOS at the Fermi energy (states/eV per cell): 8.0
Spin magnetization (μB/atom): 0.00
Energy above the most stable polymorph in this dataset (meV per atom): 53

Cell and atoms, written as POSCAR:
```
HoTm2Pd2
1.0
5.4163 0.0000 0.0000
0.0000 4.5593 0.0000
-1.4200 0.0000 10.1364
Ho Tm Pd
2 4 4
direct
0.0916 0.2500 0.2861 Ho
0.9084 0.7500 0.7139 Ho
0.2539 0.2500 0.9651 Tm
0.3881 0.2500 0.6192 Tm
0.6119 0.7500 0.3808 Tm
0.7461 0.7500 0.0349 Tm
0.1495 0.7500 0.4712 Pd
0.2644 0.7500 0.1388 Pd
0.7356 0.2500 0.8612 Pd
0.8505 0.2500 0.5288 Pd
```

Entry 2:
Density functional theory data (PBE) for a geometry-optimized Ho5TmPd2 structure.

Summary:
E (eV per atom): -5.099
Formation energy from the elements (meV/atom): -381
DOS at the Fermi energy (states/eV per cell): 19.2
Spin magnetization (μB/atom): 0.00

Cell and atoms, written as POSCAR:
```
Ho5TmPd2
1.0
1.8737 -6.5485 0.0000
1.8737 6.5485 0.0000
0.0000 0.0000 18.1899
Ho Tm Pd
10 2 4
direct
0.0537 0.9463 0.5873 Ho
0.0537 0.9463 0.9127 Ho
0.3303 0.6697 0.5554 Ho
0.3303 0.6697 0.9446 Ho
0.4461 0.5539 0.2500 Ho
0.5539 0.4461 0.7500 Ho
0.6697 0.3303 0.0554 Ho
0.6697 0.3303 0.4446 Ho
0.9463 0.0537 0.0873 Ho
0.9463 0.0537 0.4127 Ho
0.2816 0.7184 0.7500 Tm
0.7184 0.2816 0.2500 Tm
0.2906 0.7094 0.1375 Pd
0.2906 0.7094 0.3625 Pd
0.7094 0.2906 0.6375 Pd
0.7094 0.2906 0.8625 Pd
```

Entry 3:
Density functional theory data (PBE) for a geometry-optimized HoTm4Pd4 structure.

Summary:
E (eV per atom): -5.505
Formation energy from the elements (meV/atom): -701
DOS at the Fermi energy (states/eV per cell): 13.4
Spin magnetization (μB/atom): 0.00

Cell and atoms, written as POSCAR:
```
HoTm4Pd4
1.0
8.9007 0.0000 0.0000
0.0000 8.9007 0.0000
0.0000 0.0000 5.6942
Ho Tm Pd
2 8 8
direct
0.2500 0.2500 0.2500 Ho
0.7500 0.7500 0.7500 Ho
0.0735 0.6574 0.1601 Tm
0.1574 0.9265 0.6601 Tm
0.3426 0.5735 0.6601 Tm
0.4265 0.8426 0.1601 Tm
0.5735 0.1574 0.8399 Tm
0.6574 0.4265 0.3399 Tm
0.8426 0.0735 0.3399 Tm
0.9265 0.3426 0.8399 Tm
0.0323 0.6255 0.6581 Pd
0.1255 0.9677 0.1581 Pd
0.3745 0.5323 0.1581 Pd
0.4677 0.8745 0.6581 Pd
0.5323 0.1255 0.3419 Pd
0.6255 0.4677 0.8419 Pd
0.8745 0.0323 0.8419 Pd
0.9677 0.3745 0.3419 Pd
```

Entry 4:
Density functional theory data (PBE) for a geometry-optimized HoTm2Pd4 structure.

Summary:
E (eV per atom): -5.533
Formation energy from the elements (meV/atom): -634
DOS at the Fermi energy (states/eV per cell): 4.2
Spin magnetization (μB/atom): 0.00

Cell and atoms, written as POSCAR:
```
HoTm2Pd4
1.0
-3.4530 3.4530 3.2208
3.4530 -3.4530 3.2208
3.4530 3.4530 -3.2208
Ho Tm Pd
1 2 4
direct
0.0000 0.0000 0.0000 Ho
0.0000 0.5000 0.5000 Tm
0.5000 0.0000 0.5000 Tm
0.0000 0.0000 0.5000 Pd
0.0000 0.5000 0.0000 Pd
0.5000 0.0000 0.0000 Pd
0.5000 0.5000 0.5000 Pd
```

Entry 5:
Density functional theory data (PBE) for a geometry-optimized Ho6TmPd3 structure.

Summary:
E (eV per atom): -5.262
Formation energy from the elements (meV/atom): -511
DOS at the Fermi energy (states/eV per cell): 22.1
Spin magnetization (μB/atom): 0.00

Cell and atoms, written as POSCAR:
```
Ho6TmPd3
1.0
5.6543 -6.5670 0.0000
5.6543 6.5670 0.0000
0.0000 0.0000 7.1833
Ho Tm Pd
12 2 6
direct
0.0339 0.4208 0.6642 Ho
0.0357 0.9643 0.5000 Ho
0.2298 0.7702 0.8610 Ho
0.2928 0.3711 0.0102 Ho
0.3711 0.2928 0.5102 Ho
0.4208 0.0339 0.1642 Ho
0.5792 0.9661 0.6642 Ho
0.6289 0.7072 0.0102 Ho
0.7072 0.6289 0.5102 Ho
0.7702 0.2298 0.3610 Ho
0.9643 0.0357 0.0000 Ho
0.9661 0.5792 0.1642 Ho
0.3193 0.6807 0.3812 Tm
0.6807 0.3193 0.8812 Tm
0.0878 0.2910 0.2970 Pd
0.2910 0.0878 0.7970 Pd
0.4220 0.5780 0.7151 Pd
0.5780 0.4220 0.2151 Pd
0.7090 0.9122 0.2970 Pd
0.9122 0.7090 0.7970 Pd
```

Entry 6:
Density functional theory data (PBE) for a geometry-optimized Ho2TmPd structure.

Summary:
E (eV per atom): -5.120
Formation energy from the elements (meV/atom): -415
DOS at the Fermi energy (states/eV per cell): 4.8
Spin magnetization (μB/atom): 0.00
Energy above the most stable polymorph in this dataset (meV per atom): 70

Cell and atoms, written as POSCAR:
```
Ho2TmPd
1.0
3.5565 0.0000 0.0000
0.0000 3.5565 0.0000
0.0000 0.0000 8.2854
Ho Tm Pd
2 1 1
direct
0.0000 0.0000 0.2015 Ho
0.0000 0.0000 0.7985 Ho
0.5000 0.5000 0.5000 Tm
0.5000 0.5000 0.0000 Pd
```

Entry 7:
Density functional theory data (PBE) for a geometry-optimized HoTm2Pd structure.

Summary:
E (eV per atom): -5.151
Formation energy from the elements (meV/atom): -472
DOS at the Fermi energy (states/eV per cell): 9.8
Spin magnetization (μB/atom): 0.00
Energy above the most stable polymorph in this dataset (meV per atom): 21

Cell and atoms, written as POSCAR:
```
HoTm2Pd
1.0
1.8612 -6.1004 0.0000
1.8612 6.1004 0.0000
0.0000 0.0000 9.1868
Ho Tm Pd
2 4 2
direct
0.0601 0.9399 0.7500 Ho
0.9399 0.0601 0.2500 Ho
0.3650 0.6350 0.5597 Tm
0.3650 0.6350 0.9403 Tm
0.6350 0.3650 0.0597 Tm
0.6350 0.3650 0.4403 Tm
0.2400 0.7600 0.2500 Pd
0.7600 0.2400 0.7500 Pd
```

Entry 8:
Density functional theory data (PBE) for a geometry-optimized HoTm2Pd3 structure.

Summary:
E (eV per atom): -5.775
Formation energy from the elements (meV/atom): -925
DOS at the Fermi energy (states/eV per cell): 4.3
Spin magnetization (μB/atom): 0.00
Energy above the most stable polymorph in this dataset (meV per atom): 6

Cell and atoms, written as POSCAR:
```
HoTm2Pd3
1.0
3.4742 0.0000 0.0000
0.0000 3.4742 0.0000
0.0000 0.0000 10.4065
Ho Tm Pd
1 2 3
direct
0.0000 0.0000 0.0000 Ho
0.0000 0.0000 0.3345 Tm
0.0000 0.0000 0.6655 Tm
0.5000 0.5000 0.1700 Pd
0.5000 0.5000 0.5000 Pd
0.5000 0.5000 0.8300 Pd
```